No. 1
The following is a GGA-PBE calculation of an optimized crystal structure of LaCeZn2, from the Alexandria database.

Geometry as POSCAR:
```
LaCeZn2
1.0
3.6783 0.0000 0.0000
0.0000 3.6783 0.0000
0.0000 0.0000 7.4367
La Ce Zn
1 1 2
direct
0.0000 0.0000 0.0000 La
0.0000 0.0000 0.5000 Ce
0.5000 0.5000 0.2637 Zn
0.5000 0.5000 0.7363 Zn
```

ΔE_f = -23 kJ per mole of atoms

=====

No. 2
The following is a GGA-PBE calculation of an optimized crystal structure of CaTi2Br, from the Alexandria database.

Geometry as POSCAR:
```
CaTi2Br
1.0
7.0376 0.0000 0.0000
0.0000 7.0376 0.0000
0.0000 0.0000 7.0376
Ca Ti Br
4 8 4
direct
0.0000 0.0000 0.0000 Ca
0.0000 0.5000 0.5000 Ca
0.5000 0.0000 0.5000 Ca
0.5000 0.5000 0.0000 Ca
0.2500 0.2500 0.2500 Ti
0.2500 0.2500 0.7500 Ti
0.2500 0.7500 0.2500 Ti
0.2500 0.7500 0.7500 Ti
0.7500 0.2500 0.2500 Ti
0.7500 0.2500 0.7500 Ti
0.7500 0.7500 0.2500 Ti
0.7500 0.7500 0.7500 Ti
0.0000 0.0000 0.5000 Br
0.0000 0.5000 0.0000 Br
0.5000 0.0000 0.0000 Br
0.5000 0.5000 0.5000 Br
```

Formation energy (no corrections) = 78 kJ/mol of atoms

=====

The records above yield total moment values of 0.6, 2.1 μB per formula unit, respectively.